No. 1
# TmAgGeTeS2

A relaxed TmAgGeTeS2 crystal (PBE-GGA, OQMD via LeMat-Bulk).

Computed properties:
Total magnetic moment, μB/f.u.: 0.00
SG: Cmcm (63)
Calculated total energy, eV/atom: -4.589

Cell lengths 6.918, 6.918, 11.123 Å; angles 90.00, 90.00, 147.03 degrees
Atoms (fractional coordinates):
1 Tm 0.000 0.000 0.000
2 Tm 0.000 0.000 0.500
3 Ag 0.479 0.521 0.750
4 Ag 0.521 0.479 0.250
5 Ge 0.203 0.797 0.250
6 Ge 0.797 0.203 0.750
7 Te 0.131 0.869 0.750
8 Te 0.869 0.131 0.250
9 S 0.371 0.629 0.567
10 S 0.371 0.629 0.933
11 S 0.629 0.371 0.067
12 S 0.629 0.371 0.433

No. 2
# TaCuSnMo

A relaxed TaCuSnMo crystal (PBE-GGA, OQMD via LeMat-Bulk).

Computed properties:
Energy relative to the lowest polymorph listed for this composition, eV per atom: 0.0000
Total magnetic moment, μB/f.u.: 0.00
SG: F-43m (216)
Calculated total energy, eV/atom: -7.362

Cell lengths 4.568, 4.568, 4.568 Å; angles 60.00, 60.00, 60.00 degrees
Atoms (fractional coordinates):
1 Ta 0.000 0.000 0.000
2 Cu 0.750 0.750 0.750
3 Sn 0.500 0.500 0.500
4 Mo 0.250 0.250 0.250

No. 3
# RbPdSe2

A relaxed RbPdSe2 crystal (PBE-GGA, OQMD via LeMat-Bulk).

Computed properties:
SG: Fddd (70)
Calculated total energy, eV/atom: -3.802

Cell lengths 13.094, 11.480, 7.538 Å; angles 84.32, 60.74, 34.95 degrees
Atoms (fractional coordinates):
1 Rb 0.065 0.065 0.685
2 Rb 0.315 0.315 0.935
3 Rb 0.685 0.685 0.065
4 Rb 0.935 0.935 0.315
5 Pd 0.125 0.125 0.125
6 Pd 0.375 0.375 0.375
7 Pd 0.625 0.625 0.625
8 Pd 0.875 0.875 0.875
9 Se 0.028 0.359 0.415
10 Se 0.302 0.585 0.641
11 Se 0.359 0.028 0.698
12 Se 0.415 0.698 0.028
13 Se 0.585 0.302 0.972
14 Se 0.641 0.972 0.302
15 Se 0.698 0.415 0.359
16 Se 0.972 0.641 0.585

No. 4
# Pr3Bi2Sb

A relaxed Pr3Bi2Sb crystal (PBE-GGA, OQMD via LeMat-Bulk).

Computed properties:
Total magnetic moment, μB/f.u.: 0.00
SG: C2/c (15)
Calculated total energy, eV/atom: -5.472

Cell lengths 7.975, 7.975, 9.204 Å; angles 106.77, 106.77, 48.17 degrees
Atoms (fractional coordinates):
1 Pr 0.000 0.000 0.250
2 Pr 0.000 0.000 0.750
3 Pr 0.337 0.337 0.418
4 Pr 0.337 0.337 0.918
5 Pr 0.663 0.663 0.082
6 Pr 0.663 0.663 0.582
7 Bi 0.168 0.168 0.084
8 Bi 0.168 0.168 0.584
9 Bi 0.832 0.832 0.416
10 Bi 0.832 0.832 0.916
11 Sb 0.500 0.500 0.250
12 Sb 0.500 0.500 0.750

No. 5
# TbAgSeS

A relaxed TbAgSeS crystal (PBE-GGA, OQMD via LeMat-Bulk).

Computed properties:
Total magnetic moment, μB/f.u.: 0.00
SG: P2_1 (4)
Calculated total energy, eV/atom: -5.046

Cell lengths 4.246, 6.677, 6.682 Å; angles 90.00, 91.30, 90.00 degrees
Atoms (fractional coordinates):
1 Tb 0.218 0.000 0.266
2 Tb 0.782 0.500 0.734
3 Ag 0.001 0.493 0.251
4 Ag 0.999 0.993 0.749
5 Se 0.283 0.296 0.951
6 Se 0.717 0.796 0.049
7 S 0.264 0.698 0.550
8 S 0.736 0.198 0.450

No. 6
# Na2Mg2InGePd2

A relaxed Na2Mg2InGePd2 crystal (PBE-GGA, OQMD via LeMat-Bulk).

Computed properties:
SG: P-4m2 (115)
Calculated total energy, eV/atom: -3.212

Cell lengths 4.698, 4.698, 6.698 Å; angles 90.00, 90.00, 90.00 degrees
Atoms (fractional coordinates):
1 Na 0.000 0.500 0.239
2 Na 0.500 0.000 0.761
3 Mg 0.000 0.000 0.000
4 Mg 0.500 0.500 0.500
5 In 0.000 0.000 0.500
6 Ge 0.500 0.500 0.000
7 Pd 0.000 0.500 0.763
8 Pd 0.500 0.000 0.237

No. 7
# ZnFeBiMo

A relaxed ZnFeBiMo crystal (PBE-GGA, OQMD via LeMat-Bulk).

Computed properties:
Energy relative to the lowest polymorph listed for this composition, eV per atom: 0.0000
Total magnetic moment, μB/f.u.: 2.27
SG: F-43m (216)
Calculated total energy, eV/atom: -5.483

Cell lengths 4.552, 4.552, 4.552 Å; angles 60.00, 60.00, 60.00 degrees
Atoms (fractional coordinates):
1 Zn 0.000 0.000 0.000
2 Fe 0.750 0.750 0.750
3 Bi 0.500 0.500 0.500
4 Mo 0.250 0.250 0.250

No. 8
# TbEr2Mg3Ir2Pd

A relaxed TbEr2Mg3Ir2Pd crystal (PBE-GGA, OQMD via LeMat-Bulk).

Computed properties:
Total magnetic moment, μB/f.u.: 0.01
SG: Amm2 (38)
Calculated total energy, eV/atom: -5.294

Cell lengths 4.002, 7.336, 7.336 Å; angles 120.17, 90.00, 90.00 degrees
Atoms (fractional coordinates):
1 Tb 0.000 0.000 0.000
2 Er 0.000 0.168 0.583
3 Er 0.000 0.583 0.168
4 Mg 0.500 0.335 0.335
5 Mg 0.500 0.583 0.833
6 Mg 0.500 0.833 0.583
7 Ir 0.500 0.252 0.916
8 Ir 0.500 0.916 0.252
9 Pd 0.000 0.581 0.581

What is the calculated total energy in the third record? -3.802 eV/atom

Which formula does entry 8 have? TbEr2Mg3Ir2Pd